The following is a DFT calculation (PBE) of a relaxed SrY2Zr2 crystal. Values from VASP.

Properties
ΔE_f, eV per atom: 0.55
DFT total energy, eV per atom: -5.79
Theoretical density, g/cm3: 4.605
Density of states at the Fermi level, states/eV/cell: 9.39
M_tot, μB per atom: 0.00
Space-group type: I4/mmm (139)

Quantum ESPRESSO input file:
```
&SYSTEM
  ibrav = 0, nat = 5, ntyp = 3
/
ATOMIC_SPECIES
Sr 87.62 Sr.upf
Y 88.91 Y.upf
Zr 91.22 Zr.upf
ATOMIC_POSITIONS angstrom
Sr 0.000 0.000 0.000
Y 2.350 0.000 3.655
Y 0.000 2.350 3.655
Zr 0.000 0.000 5.994
Zr 0.000 0.000 8.625
CELL_PARAMETERS angstrom
-2.350 2.350 7.310
2.350 -2.350 7.310
2.350 2.350 -7.310
```